## TmAl3Ga3 (GGA-PBE)

Data for TmAl3Ga3 after structural relaxation.

a b c (Å): 8.0994 8.0994 8.0994
angles (deg): 90.00 90.00 90.00
Space group P2_13 (No. 198)
Inequivalent atoms, fractional coordinates:
Tm  0.0197  0.4803  0.5197 x4
Al  0.1252  0.6252  0.8748 x4
Al  0.1476  0.8524  0.3524 x4
Al  0.1900  0.1900  0.1900 x4
Ga  0.0500  0.3105  0.8619 x12

Output
total magnetic moment	0.000	μB per atom
calculated volume	19.0	Å³/atom
formation enthalpy at 0 K	-156	meV per atom